Record 1
## CoRe2Se (PBE)

Data for CoRe2Se after structural relaxation. Values from VASP.

* spin magnetization: 2.12 μB/f.u.
* energy: -0.60459 Ry per atom

```
&SYSTEM
  ibrav = 0, nat = 16, ntyp = 3
/
ATOMIC_SPECIES
Co 58.93 Co.upf
Re 186.21 Re.upf
Se 78.96 Se.upf
CELL_PARAMETERS angstrom
6.175 0.000 0.000
0.000 6.175 0.000
0.000 0.000 6.175
ATOMIC_POSITIONS crystal
Co 0.000 0.000 0.000
Co 0.000 0.500 0.500
Co 0.500 0.000 0.500
Co 0.500 0.500 0.000
Re 0.000 0.000 0.500
Re 0.000 0.500 0.000
Re 0.250 0.250 0.250
Re 0.250 0.750 0.750
Re 0.500 0.000 0.000
Re 0.500 0.500 0.500
Re 0.750 0.250 0.750
Re 0.750 0.750 0.250
Se 0.250 0.250 0.750
Se 0.250 0.750 0.250
Se 0.750 0.250 0.250
Se 0.750 0.750 0.750
```

=====

Record 2
## Co2ReSe (PBE)

Data for Co2ReSe after structural relaxation. Values from VASP.

* spin magnetization: 1.96 μB/f.u.
* energy: -0.52268 Ry per atom

```
&SYSTEM
  ibrav = 0, nat = 8, ntyp = 3
/
ATOMIC_SPECIES
Co 58.93 Co.upf
Re 186.21 Re.upf
Se 78.96 Se.upf
CELL_PARAMETERS angstrom
2.885 0.000 0.000
0.000 4.283 0.000
0.000 0.000 8.396
ATOMIC_POSITIONS crystal
Co 0.000 0.000 0.230
Co 0.000 0.000 0.770
Co 0.500 0.500 0.270
Co 0.500 0.500 0.730
Re 0.000 0.500 0.000
Re 0.500 0.000 0.500
Se 0.000 0.500 0.500
Se 0.500 0.000 0.000
```

=====

Record 3
## CoRe2Se (PBE)

Data for CoRe2Se after structural relaxation. Values from VASP.

* spin magnetization: 0.00 μB/f.u.
* energy: -0.62368 Ry per atom

```
&SYSTEM
  ibrav = 0, nat = 8, ntyp = 3
/
ATOMIC_SPECIES
Co 58.93 Co.upf
Re 186.21 Re.upf
Se 78.96 Se.upf
CELL_PARAMETERS angstrom
3.021 0.000 0.000
0.000 3.373 0.000
0.000 0.000 11.645
ATOMIC_POSITIONS crystal
Co 0.000 0.000 0.000
Co 0.500 0.500 0.500
Re 0.000 0.500 0.309
Re 0.000 0.500 0.691
Re 0.500 0.000 0.191
Re 0.500 0.000 0.809
Se 0.000 0.000 0.500
Se 0.500 0.500 0.000
```

=====

Record 4
## CoReSe (PBE)

Data for CoReSe after structural relaxation. Values from VASP.

* distance to the lowest polymorph of the same formula: 0.143 eV per atom
* spin magnetization: 1.33 μB/f.u.

```
&SYSTEM
  ibrav = 0, nat = 3, ntyp = 3
/
ATOMIC_SPECIES
Co 58.93 Co.upf
Re 186.21 Re.upf
Se 78.96 Se.upf
CELL_PARAMETERS angstrom
4.158 0.000 0.000
-2.079 3.601 0.000
0.000 0.000 2.921
ATOMIC_POSITIONS crystal
Co 0.000 0.000 0.000
Re 0.333 0.667 0.500
Se 0.667 0.333 0.500
```

=====

Record 5
## Co2ReSe (PBE)

Data for Co2ReSe after structural relaxation. Values from VASP.

* spin magnetization: 1.25 μB/f.u.
* energy: -0.51975 Ry per atom

```
&SYSTEM
  ibrav = 0, nat = 8, ntyp = 3
/
ATOMIC_SPECIES
Co 58.93 Co.upf
Re 186.21 Re.upf
Se 78.96 Se.upf
CELL_PARAMETERS angstrom
8.523 0.000 0.000
0.000 2.880 0.000
-0.278 0.000 4.380
ATOMIC_POSITIONS crystal
Co 0.232 0.000 0.229
Co 0.268 0.500 0.771
Co 0.732 0.500 0.229
Co 0.768 0.000 0.771
Re 0.000 0.500 0.000
Re 0.500 0.000 0.000
Se 0.000 0.000 0.500
Se 0.500 0.500 0.500
```

=====

Record 6
## Co2ReSe (PBE)

Data for Co2ReSe after structural relaxation. Values from VASP.

* spin magnetization: 2.53 μB/f.u.
* energy: -0.52080 Ry per atom

```
&SYSTEM
  ibrav = 0, nat = 8, ntyp = 3
/
ATOMIC_SPECIES
Co 58.93 Co.upf
Re 186.21 Re.upf
Se 78.96 Se.upf
CELL_PARAMETERS angstrom
2.970 0.000 0.000
0.000 4.157 0.000
0.000 0.000 8.548
ATOMIC_POSITIONS crystal
Co 0.000 0.000 0.000
Co 0.000 0.500 0.223
Co 0.500 0.000 0.723
Co 0.500 0.500 0.500
Re 0.000 0.000 0.453
Re 0.500 0.500 0.953
Se 0.000 0.500 0.716
Se 0.500 0.000 0.216
```

=====

Copy entry 1 word for word.
## CoRe2Se (PBE)

Data for CoRe2Se after structural relaxation. Values from VASP.

* spin magnetization: 2.12 μB/f.u.
* energy: -0.60459 Ry per atom

```
&SYSTEM
  ibrav = 0, nat = 16, ntyp = 3
/
ATOMIC_SPECIES
Co 58.93 Co.upf
Re 186.21 Re.upf
Se 78.96 Se.upf
CELL_PARAMETERS angstrom
6.175 0.000 0.000
0.000 6.175 0.000
0.000 0.000 6.175
ATOMIC_POSITIONS crystal
Co 0.000 0.000 0.000
Co 0.000 0.500 0.500
Co 0.500 0.000 0.500
Co 0.500 0.500 0.000
Re 0.000 0.000 0.500
Re 0.000 0.500 0.000
Re 0.250 0.250 0.250
Re 0.250 0.750 0.750
Re 0.500 0.000 0.000
Re 0.500 0.500 0.500
Re 0.750 0.250 0.750
Re 0.750 0.750 0.250
Se 0.250 0.250 0.750
Se 0.250 0.750 0.250
Se 0.750 0.250 0.250
Se 0.750 0.750 0.750
```